## Tb3Tl2O2 (PBE)

Data for an optimized crystal structure of Tb3Tl2O2.

a = 12.4991 Å, b = 3.9023 Å, c = 7.8858 Å
α = 90.00°, β = 120.08°, γ = 90.00°
Space group C2/m (No. 12)
Unique sites:
Tb1 0.0000 0.0000 0.0000
Tb2 0.1628 0.5000 0.7902
Tl1 0.1454 0.5000 0.3656
O1 0.1522 0.0000 0.9184

calculated volume	333	Å³ per cell
energy	-82.34	eV/cell
raw formation energy	-1.804	eV per atom



## Tb2TlO (PBE)

Data for an optimized crystal structure of Tb2TlO.

a = 6.8292 Å, b = 4.5073 Å, c = 11.5374 Å
α = 90.00°, β = 90.00°, γ = 90.00°
Space group Pnma (No. 62)
Unique sites:
Tb1 0.1063 0.2500 0.2392
Tb2 0.1601 0.2500 0.5476
Tl1 0.1420 0.2500 0.8703
O1 0.0921 0.7500 0.6024

calculated volume	355	Å³ per cell
energy	-91.48	eV/cell
offset from the most stable computed form	0.0	meV per atom
raw formation energy	-1.571	eV per atom



## TbTlO (PBE)

Data for an optimized crystal structure of TbTlO.

a = 3.7878 Å, b = 3.7878 Å, c = 11.7082 Å
α = 90.00°, β = 90.00°, γ = 120.00°
Space group P-3m1 (No. 164)
Unique sites:
Tb1 0.3333 0.6667 0.3764
Tl1 0.3333 0.6667 0.1051
O1 0.3333 0.6667 0.5794

calculated volume	145	Å³ per cell
energy	-35.12	eV/cell
offset from the most stable computed form	0.0	meV per atom
raw formation energy	-1.869	eV per atom